## TbYAlCu (PBE)

Data for a relaxed structure of TbYAlCu.

Its formation energy is -0.322 eV/atom. The calculation puts the energy above the most stable polymorph in this dataset at 0.000 eV per atom.

The space group is P4mm (No. 99) and the conventional cell measures 3.485, 3.485 and 7.405 Å, with angles of 90.00, 90.00 and 90.00 degrees. The inequivalent atoms are Tb at (0.000, 0.000, 0.000), Y at (0.000, 0.000, 0.473), Al at (0.500, 0.500, 0.735) and Cu at (0.500, 0.500, 0.237).

=====

## RbBaAlH6 (PBE)

Data for a relaxed structure of RbBaAlH6.

For the raw total energy, the calculation gives -3.31 eV per atom.

The space group is P3m1 (No. 156) and the conventional cell measures 5.5333, 5.5333 and 4.5923 Å, with angles of 90.00, 90.00 and 120.00 degrees. The inequivalent atoms are Rb at (0.0000, 0.0000, 0.0000), Ba at (0.3333, 0.6667, 0.5420), Al at (0.6667, 0.3333, 0.2785), H at (0.3632, 0.1816, 0.4972) and H at (0.5090, 0.0181, 0.0748).

=====

| no. | DOS at the Fermi energy (states/eV/f.u.) |
| --- | --- |
| 1 | 2.85 |
| 2 | 0.00 |